Entry 1:
Ce5Si2Ir | PBE | optimized geometry

Raw formation energy = -0.4472 eV/atom

Structure (POSCAR):
```
Ce5Si2Ir
1.0
2.590 -4.574 0.000
2.590 4.574 0.000
0.000 0.000 15.839
Ce Si Ir
10 4 2
Direct
0.062 0.938 0.583 Ce
0.062 0.938 0.917 Ce
0.277 0.723 0.250 Ce
0.401 0.599 0.613 Ce
0.401 0.599 0.887 Ce
0.599 0.401 0.113 Ce
0.599 0.401 0.387 Ce
0.723 0.277 0.750 Ce
0.938 0.062 0.083 Ce
0.938 0.062 0.417 Ce
0.273 0.727 0.064 Si
0.273 0.727 0.436 Si
0.727 0.273 0.564 Si
0.727 0.273 0.936 Si
0.048 0.952 0.750 Ir
0.952 0.048 0.250 Ir
```

Entry 2:
Ce6Si2Ir | PBE | optimized geometry

Raw formation energy = -0.5175 eV/atom

Structure (POSCAR):
```
Ce6Si2Ir
1.0
8.067 0.000 0.000
-4.034 6.986 0.000
0.000 0.000 3.858
Ce Si Ir
6 2 1
Direct
0.000 0.263 0.000 Ce
0.000 0.579 0.500 Ce
0.263 0.000 0.000 Ce
0.421 0.421 0.500 Ce
0.579 0.000 0.500 Ce
0.737 0.737 0.000 Ce
0.333 0.667 0.000 Si
0.667 0.333 0.000 Si
0.000 0.000 0.500 Ir
```

Entry 3:
CeSi3Ir | PBE | optimized geometry

Raw formation energy = -0.7091 eV/atom

Structure (POSCAR):
```
CeSi3Ir
1.0
5.892 0.000 0.000
0.000 5.557 0.000
0.000 0.000 5.652
Ce Si Ir
2 6 2
Direct
0.000 0.144 0.000 Ce
0.500 0.856 0.500 Ce
0.000 0.930 0.539 Si
0.220 0.312 0.476 Si
0.280 0.688 0.976 Si
0.500 0.070 0.039 Si
0.720 0.688 0.976 Si
0.780 0.312 0.476 Si
0.000 0.613 0.267 Ir
0.500 0.387 0.767 Ir
```

Entry 4:
CeSi3Ir2 | PBE | optimized geometry

Raw formation energy = -0.8141 eV/atom

Structure (POSCAR):
```
CeSi3Ir2
1.0
7.999 -2.015 0.000
7.999 2.015 0.000
-2.254 0.000 9.304
Ce Si Ir
3 9 6
Direct
0.000 0.000 0.000 Ce
0.151 0.151 0.699 Ce
0.849 0.849 0.301 Ce
0.048 0.048 0.370 Si
0.221 0.221 0.368 Si
0.354 0.354 0.067 Si
0.361 0.361 0.816 Si
0.500 0.500 0.500 Si
0.639 0.639 0.184 Si
0.646 0.646 0.933 Si
0.779 0.779 0.632 Si
0.952 0.952 0.630 Si
0.205 0.205 0.098 Ir
0.353 0.353 0.558 Ir
0.492 0.492 0.234 Ir
0.508 0.508 0.766 Ir
0.647 0.647 0.442 Ir
0.795 0.795 0.902 Ir
```

Entry 5:
Ce2Si2Ir5 | PBE | optimized geometry

Raw formation energy = -0.8625 eV/atom

Structure (POSCAR):
```
Ce2Si2Ir5
1.0
4.135 0.000 0.000
0.000 4.135 0.000
0.000 0.000 9.005
Ce Si Ir
2 2 5
Direct
0.000 0.000 0.000 Ce
0.000 0.000 0.500 Ce
0.500 0.500 0.136 Si
0.500 0.500 0.864 Si
0.000 0.500 0.266 Ir
0.000 0.500 0.734 Ir
0.500 0.000 0.266 Ir
0.500 0.000 0.734 Ir
0.500 0.500 0.500 Ir
```

Entry 6:
Ce5SiIr2 | PBE | optimized geometry

Polymorph energy (0 for the lowest one) = 0.00 kcal/mol of atoms
Raw formation energy = -0.5611 eV/atom

Structure (POSCAR):
```
Ce5SiIr2
1.0
2.223 -5.443 0.000
2.223 5.443 0.000
0.000 0.000 15.720
Ce Si Ir
10 2 4
Direct
0.084 0.916 0.612 Ce
0.084 0.916 0.888 Ce
0.212 0.788 0.250 Ce
0.409 0.591 0.577 Ce
0.409 0.591 0.923 Ce
0.591 0.409 0.077 Ce
0.591 0.409 0.423 Ce
0.788 0.212 0.750 Ce
0.916 0.084 0.112 Ce
0.916 0.084 0.388 Ce
0.499 0.501 0.250 Si
0.501 0.499 0.750 Si
0.252 0.748 0.072 Ir
0.252 0.748 0.428 Ir
0.748 0.252 0.572 Ir
0.748 0.252 0.928 Ir
```